Entry 1:
Material: KCo2CuAg
Method: DFT, PBE
State: relaxed

Energy of formation ... 2.154 eV/atom

Unit cell a=4.5003 b=4.5003 c=4.8576 alpha=90.00 beta=90.00 gamma=90.00
With the nearest neighbours (Å) after each atom.
Space group P4/mmm (No. 123)
Unique sites:
K  0.0000  0.0000  0.0000  4 Co 2.25, 2 Cu 2.43
Co  0.0000  0.5000  0.0000  2 K 2.25
Cu  0.0000  0.0000  0.5000  2 K 2.43
Ag  0.5000  0.5000  0.5000  4 Cu 3.18, 8 Co 3.31

---

Entry 2:
Material: La2CoCuAg
Method: DFT, PBE
State: relaxed

Polymorph energy (0 for the lowest one) ... 0.000 eV per atom
Energy of formation ... -0.169 eV/atom

Unit cell a=7.2472 b=4.6037 c=7.6741 alpha=90.00 beta=113.01 gamma=90.00
With the nearest neighbours (Å) after each atom.
Space group P2_1/m (No. 11)
Unique sites:
La  0.1675  0.2500  0.3569  3 Co 2.86-3.19, 2 Cu 3.12, 2 Ag 3.16
La  0.2725  0.2500  0.9280  1 Co 2.44
Co  0.0516  0.7500  0.0437  2 Co 2.43, 1 La 2.44, 1 Cu 2.50
Cu  0.4100  0.7500  0.2708  1 Co 2.50, 2 Ag 2.75
Ag  0.3648  0.7500  0.6535  2 Cu 2.75

---

Entry 3:
Material: La2CoCuAg
Method: DFT, PBE
State: relaxed

Polymorph energy (0 for the lowest one) ... 0.117 eV per atom
Energy of formation ... -0.052 eV/atom

Unit cell a=5.1968 b=5.1968 c=4.6288 alpha=90.00 beta=90.00 gamma=90.00
With the nearest neighbours (Å) after each atom.
Space group P4/mmm (No. 123)
Unique sites:
La  0.0000  0.5000  0.0000  2 Co 2.60
Co  0.0000  0.0000  0.0000  2 Cu 2.31
Cu  0.0000  0.0000  0.5000  2 Co 2.31
Ag  0.5000  0.5000  0.5000  8 La 3.48, 4 Cu 3.67

---

Entry 4:
Material: Co2CuAgN
Method: DFT, PBE
State: relaxed

Uncorrected formation energy ... 0.156 eV/atom

Unit cell a=3.7600 b=3.7600 c=4.0760 alpha=90.00 beta=90.00 gamma=90.00
With the nearest neighbours (Å) after each atom.
Space group P4/mmm (No. 123)
Unique sites:
Co  0.0000  0.5000  0.0000  2 N 1.88
Cu  0.0000  0.0000  0.5000  2 N 2.04
Ag  0.5000  0.5000  0.5000  4 Cu 2.66, 8 Co 2.77
N  0.0000  0.0000  0.0000  4 Co 1.88, 2 Cu 2.04

---

Entry 5:
Material: NbCo2CuAg
Method: DFT, PBE
State: relaxed

Energy of formation ... 1.746 eV/atom

Unit cell a=4.5321 b=4.5321 c=4.4401 alpha=90.00 beta=90.00 gamma=90.00
With the nearest neighbours (Å) after each atom.
Space group P4/mmm (No. 123)
Unique sites:
Nb  0.0000  0.0000  0.0000  8 Co 3.17, 4 Cu 3.20
Co  0.0000  0.5000  0.5000  2 Ag 2.27
Cu  0.5000  0.5000  0.0000  2 Ag 2.22
Ag  0.5000  0.5000  0.5000  2 Cu 2.22, 4 Co 2.27

---

| no. | calculated total energy (eV for the cell shown) |
| --- | --- |
| 1 | -11.49 |
| 2 | -49.51 |
| 3 | -24.17 |
| 4 | -28.70 |
| 5 | -22.50 |